[1]
AcAgB | GGA-PBE | optimized geometry

```
3
Lattice="0.0000 3.2691 3.2691 3.2691 0.0000 3.2691 3.2691 3.2691 0.0000" Properties=species:S:1:pos:R:3 pbc="T T T"
Ac 0.0000 0.0000 0.0000
Ag 3.2691 3.2691 3.2691
B 1.6346 1.6346 1.6346
```

Total DFT energy (no corrections) (eV/atom): -4.2087
Symmetry: F-43m, No. 216



[2]
MgZrBePd | GGA-PBE | optimized geometry

```
4
Lattice="0.0000 3.1746 3.1746 3.1746 0.0000 3.1746 3.1746 3.1746 0.0000" Properties=species:S:1:pos:R:3 pbc="T T T"
Mg 0.0000 0.0000 0.0000
Zr 4.7619 4.7619 4.7619
Be 1.5873 1.5873 1.5873
Pd 3.1746 3.1746 3.1746
```

Total DFT energy (no corrections) (eV/atom): -4.9547
Symmetry: F-43m, No. 216



[3]
Sm2Dy2BI3Br2 | GGA-PBE | optimized geometry

```
10
Lattice="9.4134 -2.0205 0.0000 9.4134 2.0205 0.0000 -1.8265 0.0000 8.3864" Properties=species:S:1:pos:R:3 pbc="T T T"
Sm 2.4938 0.0000 0.6229
Sm 14.5065 0.0000 7.7635
Dy 9.0436 0.0000 1.6447
Dy 7.9567 0.0000 6.7418
B 0.0000 0.0000 0.0000
I -0.9132 0.0000 4.1932
I 5.8462 0.0000 1.5653
I 11.1541 0.0000 6.8212
Br 5.2459 0.0000 5.6311
Br 11.7544 0.0000 2.7553
```

Total DFT energy (no corrections) (eV/atom): -4.5544
Symmetry: C2/m, No. 12



[4]
Cd2GeS4 | GGA-PBE | optimized geometry

```
28
Lattice="7.6685 0.0000 0.0000 0.0000 7.6685 0.0000 0.0000 0.0000 10.5751" Properties=species:S:1:pos:R:3 pbc="T T T"
Cd 0.0000 1.9611 0.0000
Cd 0.0000 5.7074 5.2875
Cd 1.9150 1.9150 3.9657
Cd 1.9150 5.7535 1.3219
Cd 1.9611 0.0000 7.9313
Cd 5.7074 0.0000 2.6438
Cd 5.7535 1.9150 6.6094
Cd 5.7535 5.7535 9.2532
Ge 1.9421 3.8342 7.9313
Ge 3.8342 1.9421 0.0000
Ge 3.8342 5.7264 5.2875
Ge 5.7264 3.8342 2.6438
S 0.2948 2.0693 7.8747
S 0.2948 5.5991 7.9879
S 2.0693 0.2948 0.0566
S 2.0693 7.3737 5.2310
S 2.0804 3.6999 10.3673
S 2.0804 3.9686 5.4953
S 3.6999 2.0804 8.1391
S 3.6999 5.5881 7.7235
S 3.9686 2.0804 2.4360
S 3.9686 5.5881 2.8515
S 5.5881 3.6999 0.2078
S 5.5881 3.9686 5.0798
S 5.5991 0.2948 10.5185
S 5.5991 7.3737 5.3441
S 7.3737 2.0693 2.7003
S 7.3737 5.5991 2.5872
```

Total DFT energy (no corrections) (eV/atom): -3.6464
Symmetry: P4_122, No. 91



Q: Look up the total DFT energy (no corrections) of the second one.
A: -4.9547 eV/atom